No. 1
# SrTaAu

A relaxed structure of SrTaAu (PBE-GGA, Alexandria).

Cell and atoms, written as POSCAR:
```
SrTaAu
1.0
0.0000 3.6203 3.6203
3.6203 0.0000 3.6203
3.6203 3.6203 0.0000
Ta Sr Au
1 1 1
Direct
0.2500 0.2500 0.2500
0.0000 0.0000 0.0000
0.7500 0.7500 0.7500
```

The symmetry is F-43m. The value obtained for the polymorph energy (0 for the lowest one) is 1.6350 eV per atom. The size of the total moment comes out at 1.34 μB/atom. Its energy relative to the elements is 1.5672 eV/atom.

***

No. 2
# SrTaAu

A relaxed structure of SrTaAu (PBE-GGA, Alexandria).

Cell and atoms, written as POSCAR:
```
SrTaAu
1.0
4.8042 -0.0001 -0.0002
0.0002 5.4427 0.0420
0.0002 -4.1523 6.0639
Au Sr Ta
2 2 2
Direct
0.4785 0.7719 0.6056
0.9785 0.1516 0.8532
0.9785 0.7894 0.3223
0.4785 0.1342 0.1366
0.4787 0.3596 0.7192
0.9787 0.5640 0.7396
```

The symmetry is P2_1/m. The value obtained for the polymorph energy (0 for the lowest one) is 0.1845 eV per atom. The size of the total moment comes out at 0.00 μB/atom. Its energy relative to the elements is 0.1167 eV/atom.

***

No. 3
# SrTa3Au

A relaxed structure of SrTa3Au (PBE-GGA, Alexandria).

Cell and atoms, written as POSCAR:
```
SrTa3Au
1.0
-1.7301 -2.7213 3.9541
1.6357 -4.2858 -2.2339
4.5127 0.5101 2.3256
Sr Ta Au
1 3 1
Direct
0.5000 0.5000 0.5000
0.0000 0.5000 0.0000
0.5000 0.0000 0.0000
0.0000 0.0000 0.5000
0.0000 0.0000 0.0000
```

The symmetry is Pm-3m. The value obtained for the polymorph energy (0 for the lowest one) is 0.0000 eV per atom. The size of the total moment comes out at 0.34 μB/atom. Its energy relative to the elements is 1.5406 eV/atom.

***

No. 4
# SrTaAu

A relaxed structure of SrTaAu (PBE-GGA, Alexandria).

Cell and atoms, written as POSCAR:
```
SrTaAu
1.0
-4.1524 -0.2246 1.8773
0.0174 -3.5423 -0.3853
3.8339 -0.8927 8.3737
Au Ta Sr
2 2 2
Direct
0.9374 0.0451 0.4899
0.4374 0.5450 0.9689
0.9374 0.5452 0.7163
0.4374 0.0452 0.7425
0.4374 0.5451 0.3798
0.9374 0.0450 0.0790
```

The symmetry is Pmmn. The value obtained for the polymorph energy (0 for the lowest one) is 0.0415 eV per atom. The size of the total moment comes out at 0.00 μB/atom. Its energy relative to the elements is -0.0263 eV/atom.

***

No. 5
# SrTaAu

A relaxed structure of SrTaAu (PBE-GGA, Alexandria).

Cell and atoms, written as POSCAR:
```
SrTaAu
1.0
-1.6344 2.7944 -1.4656
0.3987 -1.4534 -3.2156
-10.2661 -5.3937 1.1644
Ta Sr Au
2 2 2
Direct
0.1040 0.7119 0.6559
0.6040 0.2119 0.7593
0.1042 0.7118 0.9730
0.1041 0.7117 0.3278
0.6042 0.2117 0.1490
0.6039 0.2117 0.5114
```

The symmetry is P4mm. The value obtained for the polymorph energy (0 for the lowest one) is 0.0000 eV per atom. The size of the total moment comes out at 0.00 μB/atom. Its energy relative to the elements is -0.0678 eV/atom.

***

No. 6
# SrTaAu

A relaxed structure of SrTaAu (PBE-GGA, Alexandria).

Cell and atoms, written as POSCAR:
```
SrTaAu
1.0
-4.0521 -5.3686 2.5387
3.9255 -2.6161 0.7335
0.7210 3.4500 8.4467
Ta Sr Au
4 4 4
Direct
0.9506 0.7500 0.5480
0.5494 0.2500 0.0480
0.0494 0.2500 0.4520
0.4506 0.7500 0.9520
0.0812 0.2500 0.8422
0.4188 0.7500 0.3422
0.9188 0.7500 0.1578
0.5812 0.2500 0.6578
0.7191 0.2500 0.3244
0.2809 0.7500 0.6756
0.2191 0.2500 0.1756
0.7809 0.7500 0.8244
```

The symmetry is Pnma. The value obtained for the polymorph energy (0 for the lowest one) is 0.1192 eV per atom. The size of the total moment comes out at 0.00 μB/atom. Its energy relative to the elements is 0.0515 eV/atom.